# 1
Cs6K9Ag after structural relaxation, computed with PBE.

a b c (Å): 11.0980 11.0980 13.2788
angles (deg): 114.70 114.70 90.00
Closest atoms and distances in Å follow each position.
Fractional coordinates of all 16 atoms:
Ag 0.0000 0.0000 0.0000  6 Cs 3.67
K 0.6248 0.4136 0.6529  7 K 4.76-5.07, 5 Cs 4.79-5.28
K 0.9719 0.7607 0.3471  7 K 4.76-5.07, 5 Cs 4.79-5.28
Cs 0.8289 0.8289 0.6578  1 Ag 3.67
K 0.0281 0.2393 0.6529  7 K 4.76-5.07, 5 Cs 4.79-5.28
Cs 0.1711 0.1711 0.3422  1 Ag 3.67
Cs 0.1193 0.6912 0.0000  1 Ag 3.67
K 0.7607 0.3752 0.3471  7 K 4.76-5.07, 5 Cs 4.79-5.28
K 0.5000 0.5000 0.0000  4 Cs 4.73, 8 K 5.07
K 0.4136 0.0281 0.6529  7 K 4.76-5.07, 5 Cs 4.79-5.28
K 0.3752 0.5864 0.3471  7 K 4.76-5.07, 5 Cs 4.79-5.28
Cs 0.8807 0.3088 0.0000  1 Ag 3.67
Cs 0.3088 0.1193 0.0000  1 Ag 3.67
K 0.2393 0.6248 0.6529  7 K 4.76-5.07, 5 Cs 4.79-5.28
Cs 0.6912 0.8807 0.0000  1 Ag 3.67
K 0.5864 0.9719 0.3471  7 K 4.76-5.07, 5 Cs 4.79-5.28

Results
Calculated total energy (eV/atom): -1.10
E_form (meV per atom): 17

=====

# 2
Y4TmOs2 after structural relaxation, computed with PBE.

a b c (Å): 6.2738 7.9054 7.8459
angles (deg): 112.23 90.00 90.00
Closest atoms and distances in Å follow each position.
Fractional coordinates of all 14 atoms:
Os 0.7500 0.3769 0.4128  4 Y 2.72-2.95, 1 Tm 2.83
Y 0.2500 0.2471 0.3251  2 Os 2.75-2.90
Y 0.5015 0.4183 0.7622  4 Os 2.95-3.07, 2 Y 3.12-3.16
Y 0.9985 0.4183 0.7622  4 Os 2.95-3.07, 2 Y 3.12-3.16
Y 0.2500 0.9788 0.6213  2 Os 2.72-2.80
Os 0.7500 0.7496 0.0245  6 Y 2.75-3.07
Y 0.4985 0.5817 0.2378  4 Os 2.95-3.07, 2 Y 3.12-3.16
Y 0.0015 0.5817 0.2378  4 Os 2.95-3.07, 2 Y 3.12-3.16
Os 0.2500 0.2504 0.9755  6 Y 2.75-3.07
Tm 0.2500 0.8400 0.9691  1 Os 2.83
Tm 0.7500 0.1600 0.0309  1 Os 2.83
Y 0.7500 0.0212 0.3787  2 Os 2.72-2.80
Os 0.2500 0.6231 0.5872  4 Y 2.72-2.95, 1 Tm 2.83
Y 0.7500 0.7529 0.6749  2 Os 2.75-2.90

Results
Calculated total energy (eV/atom): -7.68
E_form (meV per atom): -142

=====

# 3
NpRe2Mo after structural relaxation, computed with PBE.

a b c (Å): 3.0746 3.0746 7.2347
angles (deg): 90.00 90.00 90.00
Closest atoms and distances in Å follow each position.
Fractional coordinates of all 4 atoms:
Re 0.0000 0.0000 0.7806  4 Mo 2.69, 4 Np 2.97
Np 0.5000 0.5000 0.5000  8 Re 2.97, 4 Np 3.07
Re 0.0000 0.0000 0.2194  4 Mo 2.69, 4 Np 2.97
Mo 0.5000 0.5000 0.0000  8 Re 2.69

Results
Calculated total energy (eV/atom): -11.93
E_form (meV per atom): 233

=====

# 4
Pr4ErHg2 after structural relaxation, computed with PBE.

a b c (Å): 8.9687 8.9687 8.9671
angles (deg): 135.91 104.67 91.64
Closest atoms and distances in Å follow each position.
Fractional coordinates of all 14 atoms:
Hg 0.1250 0.3750 0.7500  4 Pr 3.25
Pr 0.8753 0.1152 0.2405  3 Hg 3.13-3.25, 2 Pr 3.23-3.50, 1 Er 3.27
Pr 0.8747 0.6347 0.7594  3 Hg 3.13-3.25, 2 Pr 3.23-3.50, 1 Er 3.27
Hg 0.6250 0.3749 0.2500  4 Pr 3.25
Er 0.0959 0.5959 0.5000  4 Pr 3.27-3.28, 2 Er 3.44
Pr 0.3748 0.6348 0.2595  3 Hg 3.13-3.25, 2 Pr 3.23-3.50, 1 Er 3.27
Pr 0.2901 0.0278 0.2622  1 Er 3.28, 2 Hg 3.33, 2 Pr 3.61-3.62
Pr 0.3753 0.1153 0.7405  3 Hg 3.13-3.25, 2 Pr 3.23-3.50, 1 Er 3.27
Hg 0.6250 0.3750 0.7500  6 Pr 3.13-3.33, 2 Hg 3.37
Pr 0.7657 0.0280 0.7379  1 Er 3.28, 2 Hg 3.33, 2 Pr 3.61-3.62
Pr 0.4844 0.7220 0.7622  1 Er 3.28, 2 Hg 3.33, 2 Pr 3.61-3.62
Hg 0.6250 0.8750 0.2500  6 Pr 3.13-3.33, 2 Hg 3.37
Pr 0.9598 0.7222 0.2378  1 Er 3.28, 2 Hg 3.33, 2 Pr 3.61-3.62
Er 0.1541 0.1541 0.0000  4 Pr 3.27-3.28, 2 Er 3.44

Results
Calculated total energy (eV/atom): -3.49
E_form (meV per atom): -22